# NiPd2F11, relaxed, DFT PBE+U
data_NiPd2F11
_cell_length_a 8.337
_cell_length_b 9.469
_cell_length_c 10.154
_cell_angle_alpha 90.00
_cell_angle_beta 90.00
_cell_angle_gamma 90.00
_symmetry_space_group_name_H-M 'I b a m'
_symmetry_Int_Tables_number 72
_symmetry_space_group_name_Hall '-I 2 2c'
loop_
_atom_site_label
_atom_site_type_symbol
_atom_site_fract_x
_atom_site_fract_y
_atom_site_fract_z
_atom_site_occupancy
Ni1 Ni 0.000 0.000 0.250 1
Pd1 Pd 0.188 0.359 0.000 1
F1 F 0.000 0.500 0.000 1
F2 F 0.081 0.262 0.138 1
F3 F 0.164 0.289 0.500 1
F4 F 0.183 0.036 0.367 1
# E in eV/atom: -3.58
# Size of the total moment in μB per formula unit: 3.10